# LiMnPt (PBE, optimized geometry)
data_LiMnPt
_chemical_formula_sum 'Li2 Mn2 Pt2'
_cell_length_a 7.2240
_cell_length_b 2.7374
_cell_length_c 4.1885
_cell_angle_alpha 90.00
_cell_angle_beta 75.63
_cell_angle_gamma 90.00
_space_group_name_H-M_alt 'P 1'
_space_group_IT_number 1
loop_
_space_group_symop_operation_xyz
'x,y,z'
loop_
_atom_site_label
_atom_site_type_symbol
_atom_site_fract_x
_atom_site_fract_y
_atom_site_fract_z
_atom_site_occupancy
Mn1 Mn 0.6129 0.2500 0.9153 1
Mn2 Mn 0.3871 0.7500 0.0847 1
Pt1 Pt 0.2851 0.2500 0.6308 1
Pt2 Pt 0.7149 0.7500 0.3692 1
Li1 Li 0.0399 0.2500 0.2329 1
Li2 Li 0.9601 0.7500 0.7671 1
# **Magnetization**: 0.00 μB per formula unit
# **Calculated volume**: 40.1 Å³/f.u.
# **Space-group type**: P2_1/m, No. 11
# **Total DFT energy (no corrections)**: -5.869 eV per atom
# **Excess energy over the best structure of this formula in the dataset**: 138 meV/atom